LaAgWO5: optimized geometry, PBE with a Hubbard U.

a b c (Å): 6.557 6.557 8.764
angles (deg): 109.84 109.84 91.39
Fractional positions:
1 La 0.000 0.000 0.000
2 La 0.000 0.000 0.500
3 Ag 0.299 0.701 0.750
4 Ag 0.701 0.299 0.250
5 W 0.370 0.630 0.250
6 W 0.630 0.370 0.750
7 O 0.072 0.928 0.750
8 O 0.255 0.741 0.082
9 O 0.259 0.745 0.418
10 O 0.299 0.331 0.157
11 O 0.331 0.299 0.657
12 O 0.669 0.701 0.343
13 O 0.701 0.669 0.843
14 O 0.741 0.255 0.582
15 O 0.745 0.259 0.918
16 O 0.928 0.072 0.250

Magnetic moment = 0.00 μB per formula unit
Calculated total energy = -7.0310 eV per atom